Below is a relaxed structure of ZrScMoO6, with properties calculated at the GGA+U level.

Its space group is No. 102. The value obtained for the total DFT energy (no corrections) is -152.31 eV per cell. As for the calculated density: 4.84 Mg/m³. Its volume is 225.0 Å³/cell.

Cell and atoms, written as POSCAR:
```
ZrScMoO6
1.0
-2.564 1.275 3.876
1.070 -4.207 2.092
7.916 3.968 3.930
Zr Sc Mo O
2 2 2 12
Direct
0.500 0.500 0.170
0.000 0.000 0.670
0.500 0.500 0.830
0.000 0.000 0.330
0.500 0.500 0.500
0.000 0.000 0.000
0.212 0.788 0.501
0.788 0.212 0.501
0.288 0.288 0.001
0.712 0.712 0.001
0.192 0.808 0.160
0.808 0.192 0.160
0.308 0.308 0.660
0.692 0.692 0.660
0.807 0.193 0.839
0.193 0.807 0.839
0.693 0.693 0.339
0.307 0.307 0.339
```